Density functional theory data (PBE) for InSiSe2 after structural relaxation.

Calculated values
**Symmetry**: Cm, No. 8
**Energy relative to the elements, uncorrected**: -0.051 eV per atom

Cell: 6.021 6.021 5.929 Å, 119.38 119.38 33.15°
Atoms (fractional coordinates):
In (0.000, 0.000, 0.000)
Si (0.284, 0.284, 0.549)
Se (0.657, 0.657, 0.618)
Se (0.846, 0.846, 0.342)